No. 1
## MoCl4 (PBE)

Data for MoCl4 after structural relaxation.

Structure (POSCAR):
```
MoCl4
1.0
3.306 -5.899 0.000
3.306 5.899 0.000
0.000 0.000 12.738
Cl Mo
16 4
Cartesian
1.596 0.158 0.324 Cl
5.015 0.158 0.324 Cl
1.591 -2.764 2.909 Cl
5.020 -2.764 2.909 Cl
3.306 -5.798 3.707 Cl
3.306 -0.124 3.863 Cl
3.306 -2.797 5.736 Cl
3.306 2.879 5.897 Cl
1.596 -0.158 6.693 Cl
5.015 -0.158 6.693 Cl
1.591 2.764 9.278 Cl
5.020 2.764 9.278 Cl
3.306 5.798 10.076 Cl
3.306 0.124 10.232 Cl
3.306 2.797 12.105 Cl
3.306 -2.879 12.266 Cl
1.408 -1.461 4.800 Mo
5.203 -1.461 4.800 Mo
1.408 1.461 11.169 Mo
5.203 1.461 11.169 Mo
```

Values from the calculation:
DFT total energy	-4.480	eV/atom
space-group type	Cmc2_1

No. 2
## MoCl4 (PBE)

Data for MoCl4 after structural relaxation.

Structure (POSCAR):
```
MoCl4
1.0
-8.501 8.762 -1.121
1.382 -5.870 10.674
3.964 4.066 1.723
Cl Mo
24 6
Cartesian
-6.192 8.135 -0.559 Cl
-0.367 1.370 2.007 Cl
1.997 -3.990 9.216 Cl
-1.911 3.833 0.022 Cl
1.364 -1.015 3.931 Cl
-3.854 2.864 6.781 Cl
-4.597 5.966 1.483 Cl
-2.750 3.411 3.262 Cl
-1.057 0.905 5.282 Cl
-5.371 5.253 4.947 Cl
0.454 -1.513 7.512 Cl
-2.233 0.606 8.693 Cl
-0.923 6.352 2.582 Cl
-3.610 8.471 3.763 Cl
2.216 1.705 6.328 Cl
-2.098 6.053 5.993 Cl
-0.406 3.547 8.013 Cl
1.442 0.992 9.792 Cl
-2.627 8.995 0.579 Cl
0.698 4.095 4.494 Cl
3.981 -0.788 8.466 Cl
1.655 4.693 1.160 Cl
3.348 2.186 3.181 Cl
-2.788 5.589 9.268 Cl
-2.720 2.029 1.468 Mo
-6.780 6.214 0.932 Mo
-0.999 -0.518 3.522 Mo
-6.120 3.411 6.031 Mo
-0.339 -3.322 8.620 Mo
-4.399 0.863 8.084 Mo
```

Values from the calculation:
DFT total energy	-4.447	eV/atom
space-group type	P-31m